Run one
NbB3H | PBE | relaxed

N(E_F): 1.444 states/eV/f.u.

Cell: 3.3984 3.3984 3.3984 Å, 90.00 90.00 90.00°
Positions (direct):
Nb  0.0000  0.0000  0.0000
B  0.0000  0.5000  0.5000
B  0.5000  0.0000  0.5000
B  0.5000  0.5000  0.0000
H  0.5000  0.5000  0.5000

***

Run two
NbB3H | PBE | relaxed

N(E_F): 4.137 states/eV/f.u.

Cell: 4.3430 4.3430 4.3430 Å, 90.00 90.00 90.00°
Positions (direct):
Nb  0.0000  0.0000  0.0000
B  0.0000  0.0000  0.5000
B  0.0000  0.5000  0.0000
B  0.5000  0.0000  0.0000
H  0.5000  0.5000  0.5000

***

Winner for stability: run one